(1)
# Na3CrCu, optimized geometry, DFT PBE
# energy above the lowest structure with this stoichiometry	271	meV/atom
# V	184.9	Å³ per cell
# DOS at the Fermi energy	2.57	states/eV/f.u.
# energy of formation from the pure elements	1041	meV per atom
data_Na3CrCu
_space_group_name_H-M_alt 'P m -3 m'
_space_group_IT_number 221
_space_group_name_Hall '-P 4 2 3'
_cell_length_a 5.697
_cell_length_b 5.697
_cell_length_c 5.697
_cell_angle_alpha 90.00
_cell_angle_beta 90.00
_cell_angle_gamma 90.00
loop_
_atom_site_label
_atom_site_type_symbol
_atom_site_fract_x
_atom_site_fract_y
_atom_site_fract_z
Na1 Na 0.000 0.000 0.500
Cr1 Cr 0.000 0.000 0.000
Cu1 Cu 0.500 0.500 0.500


(2)
# PmTlTe2O8, optimized geometry, DFT PBE
# V	255.0	Å³ per cell
# DOS at the Fermi energy	0.00	states/eV/f.u.
# uncorrected formation energy	-1.386	eV/atom
data_PmTlTe2O8
_space_group_name_H-M_alt 'P -3'
_space_group_IT_number 147
_cell_length_a 6.0946
_cell_length_b 6.0946
_cell_length_c 7.9260
_cell_angle_alpha 90.00
_cell_angle_beta 90.00
_cell_angle_gamma 120.00
loop_
_space_group_symop_operation_xyz
'x,y,z'
'-x,-y,-z'
'-y,x-y,z'
'y,-x+y,-z'
'-x+y,-x,z'
'x-y,x,-z'
loop_
_atom_site_label
_atom_site_type_symbol
_atom_site_fract_x
_atom_site_fract_y
_atom_site_fract_z
Pm1 Pm 0.0000 0.0000 0.0000
Tl1 Tl 0.0000 0.0000 0.5000
Te1 Te 0.3333 0.6667 0.2698
O1 O 0.1640 0.3409 0.1849
O2 O 0.3333 0.6667 0.4992


(3)
# MgTe2Au, optimized geometry, DFT PBE
# V	106.0	Å³ per cell
# DOS at the Fermi energy	1.84	states/eV/f.u.
# uncorrected formation energy	-0.162	eV/atom
data_MgTe2Au
_space_group_name_H-M_alt 'P 4 m m'
_space_group_IT_number 99
_cell_length_a 3.194
_cell_length_b 3.194
_cell_length_c 10.389
_cell_angle_alpha 90.00
_cell_angle_beta 90.00
_cell_angle_gamma 90.00
loop_
_space_group_symop_operation_xyz
'x,y,z'
'-y,x,z'
'-x,-y,z'
'y,-x,z'
'-x,y,z'
'y,x,z'
'x,-y,z'
'-y,-x,z'
loop_
_atom_site_label
_atom_site_type_symbol
_atom_site_fract_x
_atom_site_fract_y
_atom_site_fract_z
Mg1 Mg 0.000 0.000 0.000
Te1 Te 0.000 0.000 0.614
Te2 Te 0.500 0.500 0.234
Au1 Au 0.500 0.500 0.847


(4)
# Nb2ReC, optimized geometry, DFT PBE
# V	248.0	Å³ per cell
# DOS at the Fermi energy	2.01	states/eV/f.u.
# energy of formation from the pure elements	194	meV per atom
data_Nb2ReC
_space_group_name_H-M_alt 'I -4 2 d'
_space_group_IT_number 122
_space_group_name_Hall 'I -4 2bw'
_cell_length_a 7.607
_cell_length_b 7.607
_cell_length_c 4.286
_cell_angle_alpha 90.00
_cell_angle_beta 90.00
_cell_angle_gamma 90.00
loop_
_atom_site_label
_atom_site_type_symbol
_atom_site_fract_x
_atom_site_fract_y
_atom_site_fract_z
Nb1 Nb 0.124 0.250 0.125
Re1 Re 0.000 0.000 0.500
C1 C 0.000 0.000 0.000


(5)
# BaTa3N, optimized geometry, DFT PBE
# energy above the lowest structure with this stoichiometry	0	meV/atom
# V	91.6	Å³ per cell
# DOS at the Fermi energy	4.89	states/eV/f.u.
# uncorrected formation energy	0.559	eV/atom
data_BaTa3N
_space_group_name_H-M_alt 'P m -3 m'
_space_group_IT_number 221
_space_group_name_Hall '-P 4 2 3'
_cell_length_a 4.507
_cell_length_b 4.507
_cell_length_c 4.507
_cell_angle_alpha 90.00
_cell_angle_beta 90.00
_cell_angle_gamma 90.00
loop_
_atom_site_label
_atom_site_type_symbol
_atom_site_fract_x
_atom_site_fract_y
_atom_site_fract_z
Ba1 Ba 0.000 0.000 0.000
Ta1 Ta 0.000 0.500 0.500
N1 N 0.500 0.500 0.500


(6)
# AcCe2Ga, optimized geometry, DFT PBE
# energy above the lowest structure with this stoichiometry	250	meV/atom
# V	373.1	Å³ per cell
# DOS at the Fermi energy	12.86	states/eV/f.u.
# energy of formation from the pure elements	81	meV per atom
data_AcCe2Ga
_space_group_name_H-M_alt 'R -3 m'
_space_group_IT_number 166
_space_group_name_Hall '-R 3 2"'
_cell_length_a 4.9991
_cell_length_b 4.9991
_cell_length_c 17.2406
_cell_angle_alpha 90.00
_cell_angle_beta 90.00
_cell_angle_gamma 120.00
loop_
_atom_site_label
_atom_site_type_symbol
_atom_site_fract_x
_atom_site_fract_y
_atom_site_fract_z
Ac1 Ac 0.0000 0.0000 0.0000
Ce1 Ce 0.0000 0.0000 0.2251
Ga1 Ga 0.0000 0.0000 0.5000


(7)
# AgPb2I, optimized geometry, DFT PBE
# energy above the lowest structure with this stoichiometry	171	meV/atom
# V	477.0	Å³ per cell
# DOS at the Fermi energy	3.23	states/eV/f.u.
# uncorrected formation energy	0.223	eV/atom
data_AgPb2I
_space_group_name_H-M_alt 'F m -3 m'
_space_group_IT_number 225
_space_group_name_Hall '-F 4 2 3'
_cell_length_a 7.813
_cell_length_b 7.813
_cell_length_c 7.813
_cell_angle_alpha 90.00
_cell_angle_beta 90.00
_cell_angle_gamma 90.00
loop_
_atom_site_label
_atom_site_type_symbol
_atom_site_fract_x
_atom_site_fract_y
_atom_site_fract_z
Ag1 Ag 0.000 0.000 0.000
Pb1 Pb 0.250 0.250 0.250
I1 I 0.000 0.000 0.500


(8)
# Sr5Hg4Au, optimized geometry, DFT PBE
# V	312.4	Å³ per cell
# DOS at the Fermi energy	5.42	states/eV/f.u.
# energy of formation from the pure elements	-571	meV per atom
data_Sr5Hg4Au
_space_group_name_H-M_alt 'P 4/m m m'
_space_group_IT_number 123
_space_group_name_Hall '-P 4 2'
_cell_length_a 3.928
_cell_length_b 3.928
_cell_length_c 20.250
_cell_angle_alpha 90.00
_cell_angle_beta 90.00
_cell_angle_gamma 90.00
loop_
_atom_site_label
_atom_site_type_symbol
_atom_site_fract_x
_atom_site_fract_y
_atom_site_fract_z
Sr1 Sr 0.000 0.000 0.000
Sr2 Sr 0.000 0.000 0.203
Sr3 Sr 0.000 0.000 0.407
Hg1 Hg 0.500 0.500 0.102
Hg2 Hg 0.500 0.500 0.304
Au1 Au 0.500 0.500 0.500


(9)
# KRbMg4, optimized geometry, DFT PBE
# V	849.0	Å³ per cell
# DOS at the Fermi energy	2.53	states/eV/f.u.
# energy of formation from the pure elements	149	meV per atom
data_KRbMg4
_space_group_name_H-M_alt 'F -4 3 m'
_space_group_IT_number 216
_space_group_name_Hall 'F -4 2 3'
_cell_length_a 9.469
_cell_length_b 9.469
_cell_length_c 9.469
_cell_angle_alpha 90.00
_cell_angle_beta 90.00
_cell_angle_gamma 90.00
loop_
_atom_site_label
_atom_site_type_symbol
_atom_site_fract_x
_atom_site_fract_y
_atom_site_fract_z
K1 K 0.000 0.000 0.000
Rb1 Rb 0.250 0.250 0.250
Mg1 Mg 0.126 0.126 0.626


(10)
# TbLuIn2, optimized geometry, DFT PBE
# V	104.3	Å³ per cell
# DOS at the Fermi energy	2.53	states/eV/f.u.
# energy of formation from the pure elements	-434	meV per atom
data_TbLuIn2
_space_group_name_H-M_alt 'P 4/m m m'
_space_group_IT_number 123
_space_group_name_Hall '-P 4 2'
_cell_length_a 3.724
_cell_length_b 3.724
_cell_length_c 7.524
_cell_angle_alpha 90.00
_cell_angle_beta 90.00
_cell_angle_gamma 90.00
loop_
_atom_site_label
_atom_site_type_symbol
_atom_site_fract_x
_atom_site_fract_y
_atom_site_fract_z
Tb1 Tb 0.000 0.000 0.000
Lu1 Lu 0.000 0.000 0.500
In1 In 0.500 0.500 0.258


(11)
# CuReSb2, optimized geometry, DFT PBE
# energy above the lowest structure with this stoichiometry	240	meV/atom
# V	294.0	Å³ per cell
# DOS at the Fermi energy	3.35	states/eV/f.u.
# uncorrected formation energy	0.562	eV/atom
data_CuReSb2
_space_group_name_H-M_alt 'F m -3 m'
_space_group_IT_number 225
_space_group_name_Hall '-F 4 2 3'
_cell_length_a 6.650
_cell_length_b 6.650
_cell_length_c 6.650
_cell_angle_alpha 90.00
_cell_angle_beta 90.00
_cell_angle_gamma 90.00
loop_
_atom_site_label
_atom_site_type_symbol
_atom_site_fract_x
_atom_site_fract_y
_atom_site_fract_z
Cu1 Cu 0.000 0.000 0.000
Re1 Re 0.000 0.000 0.500
Sb1 Sb 0.250 0.250 0.250


(12)
# La8SnRh3Br4, optimized geometry, DFT PBE
# V	1516.2	Å³ per cell
# DOS at the Fermi energy	14.18	states/eV/f.u.
# uncorrected formation energy	-1.096	eV/atom
data_La8SnRh3Br4
_space_group_name_H-M_alt 'R -3 m'
_space_group_IT_number 166
_space_group_name_Hall '-R 3 2"'
_cell_length_a 8.6614
_cell_length_b 8.6614
_cell_length_c 23.3369
_cell_angle_alpha 90.00
_cell_angle_beta 90.00
_cell_angle_gamma 120.00
loop_
_atom_site_label
_atom_site_type_symbol
_atom_site_fract_x
_atom_site_fract_y
_atom_site_fract_z
La1 La 0.0000 0.0000 0.2346
La2 La 0.0238 0.5119 0.7656
Sn1 Sn 0.0000 0.0000 0.5000
Rh1 Rh 0.0000 0.5000 0.5000
Br1 Br 0.0000 0.0000 0.0000
Br2 Br 0.0000 0.5000 0.0000


Table of raw total energy (eV/atom), in record order: -2.494; -5.808; -2.951; -10.259; -8.602; -4.670; -2.731; -1.860; -1.258; -4.091; -5.636; -5.606